(1)
This record from Alexandria describes crystalline AcTb2YHo6 at its relaxed geometry. The functional is PBE.

Unit cell a=9.532 b=8.910 c=8.910 alpha=118.12 beta=92.71 gamma=92.71
Positions (direct):
Ac1 0.750 0.029 0.971
Ac2 0.250 0.971 0.029
Tb1 0.952 0.684 0.799
Tb2 0.548 0.201 0.316
Tb3 0.048 0.316 0.201
Tb4 0.452 0.799 0.684
Ho1 0.383 0.508 0.287
Ho2 0.442 0.251 0.869
Ho3 0.181 0.558 0.018
Ho4 0.117 0.713 0.492
Ho5 0.819 0.442 0.982
Ho6 0.319 0.982 0.442
Ho7 0.617 0.492 0.713
Ho8 0.942 0.869 0.251
Ho9 0.058 0.131 0.749
Ho10 0.558 0.749 0.131
Ho11 0.883 0.287 0.508
Ho12 0.681 0.018 0.558
Y1 0.750 0.589 0.411
Y2 0.250 0.411 0.589

## Properties
For the total energy, the calculation gives -4.602 eV per atom. The formation energy is 0.13 eV/atom. The space group is C2/c.

---

(2)
This record from Alexandria describes crystalline KH2W at its relaxed geometry. The functional is PBE.

Unit cell a=4.463 b=4.463 c=4.463 alpha=60.00 beta=60.00 gamma=60.00
Positions (direct):
H1 0.750 0.750 0.750
H2 0.250 0.250 0.250
K1 0.000 0.000 0.000
W1 0.500 0.500 0.500

## Properties
For the total energy, the calculation gives -3.461 eV per atom. The value obtained for the energy above the lowest structure with this stoichiometry is 1017.3 meV/atom. The space group is Fm-3m.

---

(3)
This record from Alexandria describes crystalline CaCu2SeO6 at its relaxed geometry. The functional is PBE.

Unit cell a=6.803 b=6.990 c=6.990 alpha=58.84 beta=61.87 gamma=61.87
Positions (direct):
Cu1 0.236 0.276 0.262
Cu2 0.736 0.262 0.276
Cu3 0.264 0.738 0.724
Cu4 0.764 0.724 0.738
Ca1 0.250 0.807 0.193
Ca2 0.750 0.193 0.807
O1 0.603 0.094 0.601
O2 0.335 0.198 0.958
O3 0.948 0.238 0.390
O4 0.052 0.762 0.610
O5 0.103 0.601 0.094
O6 0.665 0.802 0.042
O7 0.552 0.610 0.762
O8 0.448 0.390 0.238
O9 0.397 0.906 0.399
O10 0.897 0.399 0.906
O11 0.835 0.958 0.198
O12 0.165 0.042 0.802
Se1 0.750 0.726 0.274
Se2 0.250 0.274 0.726

## Properties
For the total energy, the calculation gives -5.270 eV per atom. The uncorrected formation energy comes out at -0.93 eV/atom. The space group is C2/c.

---

(4)
This record from Alexandria describes crystalline CePrCSe at its relaxed geometry. The functional is PBE.

Unit cell a=4.016 b=4.016 c=5.706 alpha=90.00 beta=90.00 gamma=90.00
Positions (direct):
C1 0.500 0.500 0.000
Ce1 0.000 0.000 0.000
Pr1 0.500 0.500 0.500
Se1 0.000 0.000 0.500

## Properties
For the total energy, the calculation gives -6.583 eV per atom. The uncorrected formation energy comes out at -0.73 eV/atom. The space group is P4/mmm.

---

(5)
This record from Alexandria describes crystalline LiSi2Ni at its relaxed geometry. The functional is PBE.

Unit cell a=3.837 b=3.837 c=4.782 alpha=66.35 beta=66.35 gamma=60.00
Positions (direct):
Si1 0.275 0.275 0.175
Si2 0.059 0.059 0.822
Li1 0.488 0.488 0.537
Ni1 0.678 0.678 0.966

## Properties
For the total energy, the calculation gives -4.964 eV per atom. The uncorrected formation energy comes out at -0.33 eV/atom. The value obtained for the energy above the lowest structure with this stoichiometry is 27.9 meV/atom. The space group is R3m.

---

(6)
This record from Alexandria describes crystalline NaCa2Ag9 at its relaxed geometry. The functional is PBE.

Unit cell a=5.685 b=5.685 c=9.929 alpha=73.37 beta=73.37 gamma=60.00
Positions (direct):
Ag1 0.667 0.667 0.000
Ag2 0.919 0.414 0.252
Ag3 0.081 0.586 0.748
Ag4 0.333 0.333 0.000
Ag5 0.500 0.500 0.500
Ag6 0.586 0.586 0.748
Ag7 0.414 0.414 0.252
Ag8 0.586 0.081 0.748
Ag9 0.414 0.919 0.252
Na1 0.000 0.000 0.000
Ca1 0.860 0.860 0.419
Ca2 0.140 0.140 0.581

## Properties
For the total energy, the calculation gives -2.726 eV per atom. The formation energy is -0.14 eV/atom. The space group is R-3m.

---

Copy entry 4 word for word.
This record from Alexandria describes crystalline CePrCSe at its relaxed geometry. The functional is PBE.

Unit cell a=4.016 b=4.016 c=5.706 alpha=90.00 beta=90.00 gamma=90.00
Positions (direct):
C1 0.500 0.500 0.000
Ce1 0.000 0.000 0.000
Pr1 0.500 0.500 0.500
Se1 0.000 0.000 0.500

## Properties
For the total energy, the calculation gives -6.583 eV per atom. The uncorrected formation energy comes out at -0.73 eV/atom. The space group is P4/mmm.